{
  "formula": "ScCuCl",
  "functional": "GGA-PBE",
  "state": "relaxed",
  "cell": [[3.4290, 0.0000, 0.0000], [-1.7145, 2.9696, 0.0000], [0.0000, 0.0000, 6.5807]],
  "species": ["Sc", "Cl", "Cu"],
  "fractional_positions": [[0.6667, 0.3333, 0.6720], [0.0000, 0.0000, 0.9269], [0.3333, 0.6667, 0.4011]],
  "dft_energy_ev_per_atom": -4.740
}


{
  "formula": "Tl2Ag2Pd",
  "functional": "GGA-PBE",
  "state": "relaxed",
  "cell": [[-1.1084, 6.0018, -4.4524], [-2.6090, -4.5286, -5.4551], [-3.5802, 0.3770, 1.3994]],
  "species": ["Ag", "Ag", "Ag", "Ag", "Pd", "Pd", "Tl", "Tl", "Tl", "Tl"],
  "fractional_positions": [[0.8631, 0.3631, 0.5000], [0.3631, 0.1369, 0.5000], [0.1369, 0.6369, 0.5000], [0.6369, 0.8631, 0.5000], [0.0000, 0.0000, 0.0000], [0.5000, 0.5000, 0.0000], [0.8354, 0.6646, 0.0000], [0.3354, 0.8354, 0.0000], [0.6646, 0.1646, 0.0000], [0.1646, 0.3354, 0.0000]],
  "formation_enthalpy_0k_ev_per_atom": 0.20
}


{
  "formula": "Ce3SnSe6",
  "functional": "GGA-PBE",
  "state": "relaxed",
  "cell": [[8.4286, -0.0277, -1.5729], [-1.8886, 8.2143, -1.5729], [-0.0221, -0.0277, 8.5740]],
  "species": ["Se", "Se", "Se", "Se", "Se", "Se", "Se", "Se", "Se", "Se", "Se", "Se", "Sn", "Sn", "Ce", "Ce", "Ce", "Ce", "Ce", "Ce"],
  "fractional_positions": [[0.0554, 0.6761, 0.9409], [0.8270, 0.5717, 0.4256], [0.5717, 0.4256, 0.8270], [0.6761, 0.9409, 0.0554], [0.1730, 0.4283, 0.5744], [0.4256, 0.8270, 0.5717], [0.4283, 0.5744, 0.1730], [0.9446, 0.3239, 0.0591], [0.3239, 0.0591, 0.9446], [0.9409, 0.0554, 0.6761], [0.5744, 0.1730, 0.4283], [0.0591, 0.9446, 0.3239], [0.0000, 0.0000, 0.0000], [0.5000, 0.5000, 0.5000], [0.2893, 0.1281, 0.6263], [0.1281, 0.6263, 0.2893], [0.8719, 0.3737, 0.7107], [0.6263, 0.2893, 0.1281], [0.7107, 0.8719, 0.3737], [0.3737, 0.7107, 0.8719]],
  "dft_energy_ev_per_atom": -5.700
}


{
  "formula": "LaFe2Os",
  "functional": "GGA-PBE",
  "state": "relaxed",
  "cell": [[4.5496, 0.0000, 0.0000], [0.0000, 4.5496, 0.0000], [2.2748, 2.2748, 8.3579]],
  "species": ["La", "La", "Fe", "Fe", "Fe", "Fe", "Os", "Os"],
  "fractional_positions": [[0.2500, 0.7500, 0.5000], [0.5000, 0.5000, 0.0000], [0.8750, 0.6250, 0.2500], [0.3750, 0.1250, 0.7500], [0.8750, 0.1250, 0.7500], [0.8750, 0.1250, 0.2500], [0.0000, 0.0000, 0.0000], [0.7500, 0.2500, 0.5000]],
  "formation_enthalpy_0k_ev_per_atom": 0.52
}


{
  "formula": "DyHoTa",
  "functional": "GGA-PBE",
  "state": "relaxed",
  "cell": [[3.5195, 0.0000, 0.0000], [0.0000, 3.5195, 0.0000], [0.0000, 0.0000, 13.0241]],
  "species": ["Dy", "Dy", "Ho", "Ho", "Ta", "Ta"],
  "fractional_positions": [[0.5000, 0.0000, 0.4072], [0.0000, 0.5000, 0.5928], [0.5000, 0.0000, 0.7990], [0.0000, 0.5000, 0.2010], [0.0000, 0.5000, 0.9524], [0.5000, 0.0000, 0.0476]],
  "formation_enthalpy_0k_ev_per_atom": 0.13
}


{
  "formula": "Tl2CdTeS4",
  "functional": "GGA-PBE",
  "state": "relaxed",
  "cell": [[8.2904, -0.0289, -0.0376], [-0.0347, 8.2904, -0.0376], [-4.0887, -4.0916, 5.8768]],
  "species": ["Te", "Te", "Tl", "Tl", "Tl", "Tl", "S", "S", "S", "S", "S", "S", "S", "S", "Cd", "Cd"],
  "fractional_positions": [[0.5000, 0.5000, 0.5000], [0.0000, 0.0000, 0.0000], [0.0000, 0.0000, 0.5000], [0.5000, 0.0000, 0.0000], [0.5000, 0.5000, 0.0000], [0.5000, 0.0000, 0.5000], [0.2388, 0.2613, 0.4718], [0.2370, 0.7013, 0.4691], [0.7613, 0.7388, 0.9718], [0.7630, 0.2987, 0.5309], [0.7987, 0.2631, 0.0309], [0.2013, 0.7369, 0.9691], [0.2387, 0.2612, 0.0282], [0.7612, 0.7387, 0.5282], [0.0000, 0.5000, 0.5000], [0.0000, 0.5000, 0.0000]],
  "dft_energy_ev_per_atom": -3.392
}